(1)
Ba2SnTeSe5: optimized geometry, PBE-GGA.

* space-group type: Cmc2_1, No. 36
* DFT total energy: -4.180 eV per atom
* formation energy from raw total energies: -1.0226 eV per atom

Cell: 9.7045 9.7045 12.9286 Å, 90.00 90.00 151.22°
Fractional coordinates of all 18 atoms:
Ba 0.1059 0.8941 0.5000
Ba 0.1369 0.8631 0.1262
Ba 0.8631 0.1369 0.6262
Ba 0.8941 0.1059 0.0000
Sn 0.4330 0.5670 0.2546
Sn 0.5670 0.4330 0.7546
Te 0.2218 0.7782 0.8571
Te 0.7782 0.2218 0.3571
Se 0.0489 0.9511 0.8507
Se 0.2831 0.7169 0.4515
Se 0.3177 0.6823 0.1447
Se 0.3579 0.6421 0.8144
Se 0.4857 0.5143 0.5902
Se 0.5143 0.4857 0.0902
Se 0.6421 0.3579 0.3144
Se 0.6823 0.3177 0.6447
Se 0.7169 0.2831 0.9515
Se 0.9511 0.0489 0.3507

(2)
BaSnTeSe6: optimized geometry, PBE-GGA.

* space-group type: P312, No. 149
* DFT total energy: -3.705 eV per atom
* formation energy from raw total energies: -0.3749 eV per atom

Cell: 6.9356 6.9356 7.2104 Å, 90.00 90.00 120.00°
Fractional coordinates of all 9 atoms:
Ba 0.0000 0.0000 0.0000
Sn 0.3333 0.6667 0.5000
Te 0.6667 0.3333 0.5000
Se 0.0019 0.3902 0.7301
Se 0.0019 0.6116 0.2699
Se 0.3884 0.3902 0.2699
Se 0.3884 0.9981 0.7301
Se 0.6098 0.6116 0.7301
Se 0.6098 0.9981 0.2699

(3)
Ba2ThSnSe5: optimized geometry, PBE-GGA.

* space-group type: Cmc2_1, No. 36
* DFT total energy: -5.183 eV per atom
* formation energy from raw total energies: -1.5504 eV per atom

Cell: 9.6809 9.6809 14.5019 Å, 90.00 90.00 153.24°
Fractional coordinates of all 18 atoms:
Ba 0.0887 0.9113 0.5000
Ba 0.1328 0.8672 0.1419
Ba 0.8672 0.1328 0.6419
Ba 0.9113 0.0887 0.0000
Th 0.2224 0.7776 0.8662
Th 0.7776 0.2224 0.3662
Sn 0.4552 0.5448 0.2893
Sn 0.5448 0.4552 0.7893
Se 0.0748 0.9252 0.9099
Se 0.2655 0.7345 0.5015
Se 0.3051 0.6949 0.2368
Se 0.3727 0.6273 0.8285
Se 0.4934 0.5066 0.6022
Se 0.5066 0.4934 0.1022
Se 0.6273 0.3727 0.3285
Se 0.6949 0.3051 0.7368
Se 0.7345 0.2655 0.0015
Se 0.9252 0.0748 0.4099

(4)
Ba2TlSnSe4: optimized geometry, PBE-GGA.

* space-group type: Imma, No. 74
* DFT total energy: -4.125 eV per atom
* formation energy from raw total energies: -1.1062 eV per atom

Cell: 9.0895 9.0895 9.0895 Å, 120.43 119.68 89.90°
Fractional coordinates of all 16 atoms:
Ba 0.0000 0.0000 0.0000
Ba 0.5000 0.0000 0.0000
Ba 0.5000 0.0000 0.5000
Ba 0.5000 0.5000 0.5000
Tl 0.0000 0.5000 0.5000
Tl 0.5000 0.5000 0.0000
Sn 0.0000 0.0000 0.5000
Sn 0.0000 0.5000 0.0000
Se 0.2335 0.7471 0.4864
Se 0.2393 0.2529 0.9864
Se 0.2422 0.2505 0.5083
Se 0.2422 0.7338 0.9917
Se 0.7578 0.2662 0.0083
Se 0.7578 0.7495 0.4917
Se 0.7607 0.7471 0.0136
Se 0.7665 0.2529 0.5136

(5)
Ba2TlSnSe5: optimized geometry, PBE-GGA.

* space-group type: Cmc2_1, No. 36
* DFT total energy: -4.148 eV per atom
* formation energy from raw total energies: -1.0774 eV per atom

Cell: 9.9995 9.9995 13.0243 Å, 90.00 90.00 154.37°
Fractional coordinates of all 18 atoms:
Ba 0.1145 0.8855 0.5000
Ba 0.1280 0.8720 0.1214
Ba 0.8720 0.1280 0.6214
Ba 0.8855 0.1145 0.0000
Tl 0.4411 0.5589 0.2665
Tl 0.5589 0.4411 0.7665
Sn 0.2218 0.7782 0.8346
Sn 0.7782 0.2218 0.3346
Se 0.0472 0.9528 0.8837
Se 0.2832 0.7168 0.4758
Se 0.3045 0.6955 0.1882
Se 0.3575 0.6425 0.8137
Se 0.4984 0.5016 0.5837
Se 0.5016 0.4984 0.0837
Se 0.6425 0.3575 0.3137
Se 0.6955 0.3045 0.6882
Se 0.7168 0.2832 0.9758
Se 0.9528 0.0472 0.3837

(6)
BaTl2SnSe4: optimized geometry, PBE-GGA.

* space-group type: Imma, No. 74
* DFT total energy: -3.775 eV per atom
* formation energy from raw total energies: -0.7008 eV per atom

Cell: 8.9446 8.9446 8.9446 Å, 123.12 117.16 89.84°
Fractional coordinates of all 16 atoms:
Ba 0.0000 0.0000 0.0000
Ba 0.5000 0.0000 0.5000
Tl 0.0000 0.5000 0.5000
Tl 0.5000 0.0000 0.0000
Tl 0.5000 0.5000 0.0000
Tl 0.5000 0.5000 0.5000
Sn 0.0000 0.0000 0.5000
Sn 0.0000 0.5000 0.0000
Se 0.2102 0.7462 0.4640
Se 0.2178 0.2538 0.9640
Se 0.2268 0.2356 0.5088
Se 0.2268 0.7179 0.9912
Se 0.7732 0.2821 0.0088
Se 0.7732 0.7644 0.4912
Se 0.7822 0.7462 0.0360
Se 0.7898 0.2538 0.5360